First-principles (PBE) data for an optimized crystal structure of Pr3Cd3Ga2Pt, as listed in OQMD via LeMat-Bulk.

Lattice parameters (Å, degrees): 7.602 7.602 4.348 90.00 90.00 120.00
Positions (direct):
Cd: 0.249 0.000 0.000
Cd: 0.000 0.249 0.000
Cd: 0.751 0.751 0.000
Ga: 0.667 0.333 0.000
Ga: 0.333 0.667 0.000
Pr: 0.598 0.000 0.500
Pr: 0.402 0.402 0.500
Pr: 0.000 0.598 0.500
Pt: 0.000 0.000 0.500

Results
space group	No. 189
final energy	-34.6	eV/f.u.


First-principles (PBE) data for an optimized crystal structure of Cd2GaPt, as listed in OQMD via LeMat-Bulk.

Lattice parameters (Å, degrees): 4.698 4.698 4.698 60.00 60.00 60.00
Positions (direct):
Cd: 0.000 0.000 0.000
Cd: 0.750 0.750 0.750
Ga: 0.500 0.500 0.500
Pt: 0.250 0.250 0.250

Results
space group	No. 216
final energy	-11.4	eV/f.u.


First-principles (PBE) data for an optimized crystal structure of SrCd2GaPt, as listed in OQMD via LeMat-Bulk.

Lattice parameters (Å, degrees): 6.772 6.772 6.772 141.68 141.68 55.32
Positions (direct):
Cd: 0.752 0.252 0.500
Cd: 0.252 0.752 0.500
Ga: 0.603 0.603 0.000
Pt: 0.400 0.400 0.000
Sr: 0.993 0.993 0.000

Results
space group	No. 107
final energy	-15.1	eV/f.u.


Looking at total magnetic moment for the records above, in order, we have 0.01; 0.00; 0.00 Bohr magnetons per cell.